Entry 1:
CaGdOs4, relaxed, DFT PBE; crystal system = cubic; symmetry = F-43m (216)
1.0
6.550 0.000 0.000
3.275 5.673 0.000
3.275 1.891 5.348
Os Ca Gd
4 1 1
direct
0.405 0.784 0.405
0.405 0.405 0.405
0.784 0.405 0.405
0.405 0.405 0.784
0.000 0.000 0.000
0.250 0.250 0.250

---

Entry 2:
CaGd2Os, relaxed, DFT PBE; energy above the most stable polymorph in this dataset = 0.000 eV/atom; crystal system = tetragonal; symmetry = P4/mmm (123)
1.0
3.451 0.000 0.000
0.000 3.451 0.000
0.000 0.000 9.779
Os Gd Ca
1 2 1
direct
0.500 0.500 0.000
0.000 0.000 0.170
0.000 0.000 0.830
0.500 0.500 0.500

---

Entry 3:
CaGd3Os, relaxed, DFT PBE; crystal system = cubic; symmetry = Pm-3m (221)
1.0
-2.724 2.644 3.985
-4.198 -3.518 -0.536
2.290 -3.305 3.759
Gd Ca Os
3 1 1
direct
0.000 0.500 0.000
0.500 0.000 0.000
0.000 0.000 0.500
0.500 0.500 0.500
0.000 0.000 0.000

---

Entry 4:
CaGd2Os, relaxed, DFT PBE; energy above the most stable polymorph in this dataset = 0.250 eV/atom; crystal system = trigonal; symmetry = R-3m (166)
1.0
-0.791 1.611 3.523
2.504 -0.516 3.016
5.812 9.163 -0.667
Ca Gd Os
1 2 1
direct
0.000 0.000 0.000
0.118 0.118 0.645
0.882 0.882 0.355
0.500 0.500 0.500

---

| no. | calculated formation energy (eV/f.u.) | uncorrected energy (eV per cell) |
| --- | --- | --- |
| 1 | 13.37 | -47.632 |
| 2 | -0.41 | -41.806 |
| 3 | -0.42 | -55.899 |
| 4 | 0.59 | -40.805 |